1.
{
  "formula": "Nd3HoGa4",
  "functional": "PBE",
  "state": "relaxed",
  "lattice": [[-0.8788, 0.4395, 3.5233], [-3.4825, -0.8141, -0.7671], [2.7779, -14.2064, 2.4651]],
  "species": ["Nd", "Nd", "Nd", "Ho", "Ga", "Ga", "Ga", "Ga"],
  "fractional_positions": [[0.5000, 0.5000, 0.2444], [0.5000, 0.5000, 0.5000], [0.5000, 0.5000, 0.7556], [0.5000, 0.5000, 0.0000], [0.0000, 0.0000, 0.8865], [0.0000, 0.0000, 0.1135], [0.0000, 0.0000, 0.3722], [0.0000, 0.0000, 0.6278]],
  "e_form_ev_per_atom": -0.57,
  "n_ef_per_ev_cell": 3.52,
  "final_energy_ev_per_atom": -4.440,
  "space_group": "P4/mmm (123)",
  "e_above_lowest_polymorph_mev_per_atom": 0.0
}

2.
{
  "formula": "NdHo4Ga4",
  "functional": "PBE",
  "state": "relaxed",
  "lattice": [[-2.0246, -0.4620, -4.3812], [6.1304, -7.5547, -2.0362], [-6.6326, -6.3899, 3.7388]],
  "species": ["Nd", "Nd", "Ho", "Ho", "Ho", "Ho", "Ho", "Ho", "Ho", "Ho", "Ga", "Ga", "Ga", "Ga", "Ga", "Ga", "Ga", "Ga"],
  "fractional_positions": [[0.0000, 0.0000, 0.0000], [0.5000, 0.5000, 0.5000], [0.4999, 0.3727, 0.8578], [0.9999, 0.6422, 0.8727], [0.4999, 0.6273, 0.1422], [0.0001, 0.1273, 0.6422], [0.5001, 0.8578, 0.6273], [0.0001, 0.8727, 0.3578], [0.9999, 0.3578, 0.1273], [0.5001, 0.1422, 0.3727], [0.5001, 0.9250, 0.1774], [0.5001, 0.0750, 0.8226], [0.0001, 0.6774, 0.5750], [0.9999, 0.4250, 0.6774], [0.9999, 0.5750, 0.3226], [0.4999, 0.1774, 0.0750], [0.4999, 0.8226, 0.9250], [0.0001, 0.3226, 0.4250]],
  "e_form_ev_per_atom": -0.39,
  "n_ef_per_ev_cell": 14.79,
  "final_energy_ev_per_atom": -4.300,
  "space_group": "I4/m (87)"
}

3.
{
  "formula": "Nd2HoGa",
  "functional": "PBE",
  "state": "relaxed",
  "lattice": [[-1.7031, 3.0984, -0.4045], [-1.0879, 1.0240, -3.2299], [-11.0280, -3.9526, 0.5008]],
  "species": ["Nd", "Nd", "Ho", "Ga"],
  "fractional_positions": [[0.1010, 0.1010, 0.6969], [0.8990, 0.8990, 0.3031], [0.0000, 0.0000, 0.0000], [0.5000, 0.5000, 0.5000]],
  "e_form_ev_per_atom": 0.03,
  "n_ef_per_ev_cell": 5.69,
  "final_energy_ev_per_atom": -4.253,
  "space_group": "R-3m (166)",
  "e_above_lowest_polymorph_mev_per_atom": 289.1
}

4.
{
  "formula": "NdHo3Ga2",
  "functional": "PBE",
  "state": "relaxed",
  "lattice": [[5.1109, 0.0000, 0.0000], [-2.5554, 8.7741, -0.6969], [0.0000, -4.6048, 7.5542]],
  "species": ["Nd", "Nd", "Ho", "Ho", "Ho", "Ho", "Ho", "Ho", "Ga", "Ga", "Ga", "Ga"],
  "fractional_positions": [[0.8700, 0.7399, 0.9288], [0.1300, 0.2601, 0.0712], [0.3122, 0.6243, 0.6150], [0.9365, 0.8729, 0.5895], [0.6210, 0.2420, 0.7319], [0.3790, 0.7580, 0.2681], [0.0635, 0.1271, 0.4105], [0.6878, 0.3757, 0.3850], [0.5120, 0.0240, 0.8738], [0.4880, 0.9760, 0.1262], [0.7750, 0.5500, 0.1641], [0.2250, 0.4500, 0.8359]],
  "e_form_ev_per_atom": -0.33,
  "n_ef_per_ev_cell": 10.23,
  "final_energy_ev_per_atom": -4.425,
  "space_group": "C2/m (12)",
  "e_above_lowest_polymorph_mev_per_atom": 82.3
}